1.
TiAsSe2 | the Alexandria database | SCAN | PBEsol geometry; energy relative to the elements, uncorrected = -0.218 eV/atom; symmetry = I-42d; energy = -154.5 eV/cell
1.0
-2.045 2.836 6.092
4.066 -4.225 -0.718
6.687 0.234 2.136
Se As Ti
4 2 2
Direct
0.375 0.250 0.143
0.607 0.750 0.375
0.143 0.750 0.875
0.875 0.250 0.607
0.750 0.500 0.750
0.000 0.000 0.000
0.500 0.000 0.500
0.250 0.500 0.250



2.
SiRu2Se | the Alexandria database | SCAN | PBEsol geometry; energy relative to the elements, uncorrected = 0.004 eV/atom; symmetry = P4mm; ΔE to the lowest computed polymorph = 104 meV per atom; energy = -99.7 eV/cell
1.0
3.277 0.000 0.000
0.000 3.277 0.000
0.000 0.000 5.303
Ru Si Se
2 1 1
Direct
0.500 0.500 0.303
0.000 0.000 0.942
0.500 0.500 0.795
0.000 0.000 0.460